No. 1
The following is a GGA-PBE calculation of AcHo2V after structural relaxation, from the Alexandria database.

Calculated volume   373.8 Å³ per cell
DFT formation energy   0.7198 eV/atom
SG   R-3m, No. 166
D(E_F)   6.05 states/eV/f.u.

abc: 3.507 3.507 35.097
angles: 90.00 90.00 120.00
Sites, in units of the cell vectors:
1 Ac 0.000 0.000 0.000
2 Ac 0.333 0.667 0.667
3 Ac 0.667 0.333 0.333
4 Ho 0.000 0.000 0.421
5 Ho 0.000 0.000 0.579
6 Ho 0.333 0.667 0.087
7 Ho 0.333 0.667 0.246
8 Ho 0.667 0.333 0.754
9 Ho 0.667 0.333 0.913
10 V 0.000 0.000 0.500
11 V 0.333 0.667 0.167
12 V 0.667 0.333 0.833

=====

No. 2
The following is a GGA-PBE calculation of Ac2HoV after structural relaxation, from the Alexandria database.

Calculated volume   397.0 Å³ per cell
DFT formation energy   0.4957 eV/atom
SG   R-3m, No. 166
D(E_F)   5.67 states/eV/f.u.

abc: 3.757 3.757 32.476
angles: 90.00 90.00 120.00
Sites, in units of the cell vectors:
1 Ac 0.000 0.000 0.239
2 Ac 0.000 0.000 0.761
3 Ac 0.333 0.667 0.427
4 Ac 0.333 0.667 0.906
5 Ac 0.667 0.333 0.094
6 Ac 0.667 0.333 0.573
7 Ho 0.000 0.000 0.000
8 Ho 0.333 0.667 0.667
9 Ho 0.667 0.333 0.333
10 V 0.000 0.000 0.500
11 V 0.333 0.667 0.167
12 V 0.667 0.333 0.833

=====

No. 3
The following is a GGA-PBE calculation of Ac2YHo after structural relaxation, from the Alexandria database.

Calculated volume   465.2 Å³ per cell
DFT formation energy   0.2507 eV/atom
SG   R-3m, No. 166
Energy relative to the lowest polymorph listed for this composition   204.4 meV/atom
D(E_F)   7.50 states/eV/f.u.

abc: 3.705 3.705 39.128
angles: 90.00 90.00 120.00
Sites, in units of the cell vectors:
1 Ac 0.000 0.000 0.088
2 Ac 0.000 0.000 0.912
3 Ac 0.333 0.667 0.579
4 Ac 0.333 0.667 0.755
5 Ac 0.667 0.333 0.245
6 Ac 0.667 0.333 0.421
7 Y 0.000 0.000 0.500
8 Y 0.333 0.667 0.167
9 Y 0.667 0.333 0.833
10 Ho 0.000 0.000 0.000
11 Ho 0.333 0.667 0.667
12 Ho 0.667 0.333 0.333

=====

No. 4
The following is a GGA-PBE calculation of AcYHo3 after structural relaxation, from the Alexandria database.

Calculated volume   356.5 Å³ per cell
DFT formation energy   0.1586 eV/atom
SG   C2/m, No. 12
Energy relative to the lowest polymorph listed for this composition   43.1 meV/atom
D(E_F)   7.92 states/eV/f.u.

abc: 9.412 9.412 8.599
angles: 111.14 111.14 30.30
Sites, in units of the cell vectors:
1 Ac 0.115 0.115 0.150
2 Ac 0.885 0.885 0.850
3 Y 0.313 0.313 0.112
4 Y 0.687 0.687 0.888
5 Ho 0.056 0.056 0.696
6 Ho 0.227 0.227 0.626
7 Ho 0.415 0.415 0.553
8 Ho 0.585 0.585 0.447
9 Ho 0.773 0.773 0.374
10 Ho 0.944 0.944 0.304

=====

No. 5
The following is a GGA-PBE calculation of AcY6Ho after structural relaxation, from the Alexandria database.

Calculated volume   273.7 Å³ per cell
DFT formation energy   0.2153 eV/atom
SG   P-1, No. 2
Energy relative to the lowest polymorph listed for this composition   64.4 meV/atom
D(E_F)   14.65 states/eV/f.u.

abc: 6.737 6.844 6.884
angles: 119.64 91.80 95.25
Sites, in units of the cell vectors:
1 Ac 0.000 0.000 0.000
2 Y 0.259 0.573 0.520
3 Y 0.262 0.565 0.040
4 Y 0.277 0.094 0.543
5 Y 0.723 0.906 0.457
6 Y 0.738 0.435 0.960
7 Y 0.741 0.427 0.480
8 Ho 0.500 0.000 0.000

=====

No. 6
The following is a GGA-PBE calculation of Ac2Y5Ho4 after structural relaxation, from the Alexandria database.

Calculated volume   379.4 Å³ per cell
DFT formation energy   0.1850 eV/atom
SG   C2/m, No. 12
D(E_F)   23.74 states/eV/f.u.

abc: 12.340 12.340 8.887
angles: 96.00 96.00 16.38
Sites, in units of the cell vectors:
1 Ac 0.091 0.091 0.244
2 Ac 0.909 0.909 0.756
3 Y 0.143 0.143 0.630
4 Y 0.235 0.235 0.326
5 Y 0.500 0.500 0.500
6 Y 0.765 0.765 0.674
7 Y 0.857 0.857 0.370
8 Ho 0.048 0.048 0.859
9 Ho 0.320 0.320 0.026
10 Ho 0.680 0.680 0.974
11 Ho 0.952 0.952 0.141

=====

No. 7
The following is a GGA-PBE calculation of Ac2YHo after structural relaxation, from the Alexandria database.

Calculated volume   150.8 Å³ per cell
DFT formation energy   0.0463 eV/atom
SG   P4/mmm, No. 123
Energy relative to the lowest polymorph listed for this composition   0.0 meV/atom
D(E_F)   5.33 states/eV/f.u.

abc: 5.482 5.482 5.018
angles: 90.00 90.00 90.00
Sites, in units of the cell vectors:
1 Ac 0.000 0.500 0.000
2 Ac 0.500 0.000 0.000
3 Y 0.000 0.000 0.500
4 Ho 0.500 0.500 0.500

=====

No. 8
The following is a GGA-PBE calculation of AcY2Ho4 after structural relaxation, from the Alexandria database.

Calculated volume   467.5 Å³ per cell
DFT formation energy   0.1472 eV/atom
SG   P2_1/m, No. 11
Energy relative to the lowest polymorph listed for this composition   95.0 meV/atom
D(E_F)   11.91 states/eV/f.u.

abc: 6.305 6.594 11.626
angles: 90.00 104.73 90.00
Sites, in units of the cell vectors:
1 Ac 0.036 0.250 0.363
2 Ac 0.964 0.750 0.637
3 Y 0.137 0.250 0.950
4 Y 0.393 0.750 0.495
5 Y 0.607 0.250 0.505
6 Y 0.863 0.750 0.050
7 Ho 0.165 0.250 0.671
8 Ho 0.303 0.750 0.933
9 Ho 0.360 0.506 0.210
10 Ho 0.360 0.994 0.210
11 Ho 0.640 0.006 0.790
12 Ho 0.640 0.494 0.790
13 Ho 0.697 0.250 0.067
14 Ho 0.835 0.750 0.329

=====

No. 9
The following is a GGA-PBE calculation of AcY4Ho4 after structural relaxation, from the Alexandria database.

Calculated volume   597.5 Å³ per cell
DFT formation energy   0.0545 eV/atom
SG   P-1, No. 2
Energy relative to the lowest polymorph listed for this composition   13.0 meV/atom
D(E_F)   16.21 states/eV/f.u.

abc: 6.838 8.765 10.763
angles: 78.19 74.71 76.29
Sites, in units of the cell vectors:
1 Ac 0.249 0.032 0.285
2 Ac 0.751 0.968 0.715
3 Y 0.252 0.024 0.951
4 Y 0.260 0.024 0.623
5 Y 0.415 0.334 0.710
6 Y 0.422 0.340 0.374
7 Y 0.578 0.660 0.626
8 Y 0.585 0.666 0.290
9 Y 0.740 0.976 0.377
10 Y 0.748 0.976 0.049
11 Ho 0.110 0.658 0.203
12 Ho 0.112 0.655 0.539
13 Ho 0.117 0.660 0.873
14 Ho 0.419 0.338 0.038
15 Ho 0.581 0.662 0.962
16 Ho 0.883 0.340 0.127
17 Ho 0.888 0.345 0.461
18 Ho 0.890 0.342 0.797

=====

No. 10
The following is a GGA-PBE calculation of AcY12Ho5 after structural relaxation, from the Alexandria database.

Calculated volume   585.4 Å³ per cell
DFT formation energy   0.0339 eV/atom
SG   Cmmm, No. 65
D(E_F)   27.62 states/eV/f.u.

abc: 10.759 10.759 5.057
angles: 90.00 90.00 90.05
Sites, in units of the cell vectors:
1 Ac 0.000 0.000 0.000
2 Y 0.001 0.663 0.000
3 Y 0.169 0.501 0.500
4 Y 0.171 0.171 0.500
5 Y 0.335 0.335 0.000
6 Y 0.337 0.999 0.000
7 Y 0.499 0.831 0.500
8 Y 0.501 0.169 0.500
9 Y 0.663 0.001 0.000
10 Y 0.665 0.665 0.000
11 Y 0.829 0.829 0.500
12 Y 0.831 0.499 0.500
13 Y 0.999 0.337 0.000
14 Ho 0.171 0.829 0.500
15 Ho 0.334 0.666 0.000
16 Ho 0.500 0.500 0.500
17 Ho 0.666 0.334 0.000
18 Ho 0.829 0.171 0.500

=====

No. 11
The following is a GGA-PBE calculation of AcY2Ho after structural relaxation, from the Alexandria database.

Calculated volume   141.7 Å³ per cell
DFT formation energy   0.1000 eV/atom
SG   P4/mmm, No. 123
Energy relative to the lowest polymorph listed for this composition   53.9 meV/atom
D(E_F)   7.33 states/eV/f.u.

abc: 4.136 4.136 8.286
angles: 90.00 90.00 90.00
Sites, in units of the cell vectors:
1 Ac 0.000 0.000 0.000
2 Y 0.500 0.500 0.277
3 Y 0.500 0.500 0.723
4 Ho 0.000 0.000 0.500

=====

No. 12
The following is a GGA-PBE calculation of AcY6Ho8 after structural relaxation, from the Alexandria database.

Calculated volume   492.4 Å³ per cell
DFT formation energy   0.1441 eV/atom
SG   R-3, No. 148
D(E_F)   24.56 states/eV/f.u.

abc: 8.681 8.681 8.681
angles: 62.90 62.90 62.90
Sites, in units of the cell vectors:
1 Ac 0.000 0.000 0.000
2 Y 0.102 0.240 0.533
3 Y 0.240 0.533 0.102
4 Y 0.467 0.898 0.760
5 Y 0.533 0.102 0.240
6 Y 0.760 0.467 0.898
7 Y 0.898 0.760 0.467
8 Ho 0.112 0.745 0.717
9 Ho 0.255 0.283 0.888
10 Ho 0.283 0.888 0.255
11 Ho 0.424 0.424 0.424
12 Ho 0.576 0.576 0.576
13 Ho 0.717 0.112 0.745
14 Ho 0.745 0.717 0.112
15 Ho 0.888 0.255 0.283

=====

What are the final energy values for these records? In order: -4.8759, -4.9826, -4.5639, -4.7025, -5.7185, -5.1649, -4.7684, -4.9025, -5.3095, -5.7753, -5.3036, -5.1569 eV per atom.